{"formula": "TaPd2Se6", "functional": "GGA-PBE", "state": "relaxed", "raw_formation_energy_ev_per_atom": -0.39, "e_above_lowest_polymorph_mev_per_atom": 0, "lattice_angstrom": [[3.586, 0.000, -0.822], [-0.446, 7.428, -1.948], [0.017, -0.239, 8.312]], "species": ["Se", "Se", "Se", "Pd", "Se", "Pd", "Se", "Ta", "Se"], "frac_coords": [[0.675, 0.563, 0.350], [0.666, 0.099, 0.332], [0.325, 0.437, 0.650], [0.837, 0.669, 0.673], [0.334, 0.901, 0.668], [0.163, 0.331, 0.327], [0.997, 0.242, 0.994], [0.500, 0.000, 0.000], [0.003, 0.758, 0.006]]}